Record 1
First-principles (PBE) data for crystalline NaHoS2O8 at its relaxed geometry, as listed in the Alexandria database.

a b c (Å): 5.3906 5.3906 7.0962
angles (deg): 90.00 90.00 120.00
Closest atoms and distances in Å follow each position.
Space group P-3m1 (No. 164)
Asymmetric unit:
Na 0.0000 0.0000 0.0000 x1  6 O 2.73
Ho 0.0000 0.0000 0.5000 x1  6 O 2.22
S 0.3333 0.6667 0.7761 x2  4 O 1.45-1.50
O 0.1835 0.3670 0.6996 x6  1 S 1.50
O 0.3333 0.6667 0.9800 x2  1 S 1.45

Summary:
The calculation puts the uncorrected formation energy at -2351.1 kJ/mol of formula units. The calculation puts the total energy at -6.515 eV per atom.

Record 2
First-principles (PBE) data for crystalline Na3Ho3SbO8 at its relaxed geometry, as listed in the Alexandria database.

a b c (Å): 6.7853 6.7853 16.8133
angles (deg): 90.00 90.00 120.00
Closest atoms and distances in Å follow each position.
Space group R-3m (No. 166, hexagonal axes)
Asymmetric unit:
Na 0.0000 0.5000 0.0000 x9  6 O 2.54-2.56
Ho 0.0000 0.5000 0.5000 x9  6 O 2.27-2.31
Sb 0.0000 0.0000 0.5000 x3  6 O 2.16
O 0.0000 0.0000 0.2353 x6  3 Ho 2.27
O 0.0192 0.5096 0.2332 x18  1 Sb 2.16, 2 Ho 2.31

Summary:
The calculation puts the uncorrected formation energy at -3623.5 kJ/mol of formula units. The calculation puts the total energy at -6.602 eV per atom.

Record 3
First-principles (PBE) data for crystalline Na2Ho2SbO6 at its relaxed geometry, as listed in the Alexandria database.

a b c (Å): 5.8650 10.1587 5.9311
angles (deg): 90.00 106.99 90.00
Closest atoms and distances in Å follow each position.
Space group C2/m (No. 12)
Asymmetric unit:
Na 0.0000 0.1590 0.0000 x4  6 O 2.48-2.73
Ho 0.0000 0.3353 0.5000 x4  6 O 2.25-2.31
Sb 0.0000 0.0000 0.5000 x2  6 O 2.14-2.21
O 0.2142 0.1650 0.6968 x8  1 Sb 2.21, 2 Ho 2.25-2.31, 1 Na 2.48
O 0.2501 0.0000 0.3007 x4  1 Sb 2.14, 2 Ho 2.31

Summary:
The calculation puts the uncorrected formation energy at -2488.0 kJ/mol of formula units. The calculation puts the total energy at -6.496 eV per atom.

Record 4
First-principles (PBE) data for crystalline Na4Ho3SbO8 at its relaxed geometry, as listed in the Alexandria database.

a b c (Å): 6.8423 6.8423 16.7694
angles (deg): 90.00 90.00 120.00
Closest atoms and distances in Å follow each position.
Space group R-3m (No. 166, hexagonal axes)
Asymmetric unit:
Na 0.0000 0.0000 0.0000 x3  6 O 2.51
Na 0.0000 0.5000 0.0000 x9  6 O 2.56
Ho 0.0000 0.5000 0.5000 x9  6 O 2.29
Sb 0.0000 0.0000 0.5000 x3  6 O 2.34
O 0.0000 0.0000 0.2362 x6  3 Ho 2.29, 3 Na 2.56
O 0.0069 0.5035 0.7620 x18  2 Ho 2.29, 1 Sb 2.34, 3 Na 2.51-2.56

Summary:
The calculation puts the uncorrected formation energy at -3767.4 kJ/mol of formula units. The calculation puts the total energy at -6.365 eV per atom.

Record 5
First-principles (PBE) data for crystalline NaHoSb2O8 at its relaxed geometry, as listed in the Alexandria database.

a b c (Å): 5.8955 5.8955 6.9900
angles (deg): 90.00 90.00 120.00
Closest atoms and distances in Å follow each position.
Space group P-3 (No. 147)
Asymmetric unit:
Na 0.0000 0.0000 0.0000 x1  12 O 3.33-3.64, 2 Ho 3.49
Ho 0.0000 0.0000 0.5000 x1  6 O 2.24
Sb 0.3333 0.6667 0.4667 x2  4 O 1.97-2.02
O 0.0546 0.3734 0.6265 x6  1 Sb 2.02, 1 Ho 2.24
O 0.3333 0.6667 0.1846 x2  1 Sb 1.97

Summary:
The calculation puts the uncorrected formation energy at -1482.6 kJ/mol of formula units. The calculation puts the total energy at -5.764 eV per atom.

Record 6
First-principles (PBE) data for crystalline NaHoSc4O8 at its relaxed geometry, as listed in the Alexandria database.

a b c (Å): 6.3844 6.3844 15.7027
angles (deg): 90.00 90.00 120.00
Closest atoms and distances in Å follow each position.
Space group R3m (No. 160, hexagonal axes)
Asymmetric unit:
Na 0.0000 0.0000 0.0000 x3  6 O 2.29-2.33
Ho 0.0000 0.0000 0.6189 x3  4 O 2.12-2.21
Sc 0.0000 0.0000 0.3795 x3  4 O 2.01-2.15
Sc 0.0022 0.5011 0.4993 x9  6 O 2.09-2.21
O 0.0000 0.0000 0.2428 x3  4 Sc 2.15-2.21
O 0.0000 0.0000 0.7594 x3  3 Sc 2.16, 1 Ho 2.21
O 0.0044 0.5022 0.7598 x9  3 Sc 2.01-2.16
O 0.1784 0.3568 0.5696 x9  2 Sc 2.09, 1 Ho 2.12, 1 Na 2.29

Summary:
The calculation puts the uncorrected formation energy at -4411.4 kJ/mol of formula units. The calculation puts the total energy at -8.329 eV per atom.

Record 7
First-principles (PBE) data for crystalline NaHoSe2O6 at its relaxed geometry, as listed in the Alexandria database.

a b c (Å): 5.4217 5.4217 17.9283
angles (deg): 90.00 90.00 120.00
Closest atoms and distances in Å follow each position.
Space group R-3 (No. 148, hexagonal axes)
Asymmetric unit:
Na 0.0000 0.0000 0.0000 x3  6 O 2.60
Ho 0.0000 0.0000 0.5000 x3  6 O 2.28
Se 0.0000 0.0000 0.2802 x6  3 O 1.73
O 0.0206 0.7180 0.2414 x18  1 Se 1.73

Summary:
The calculation puts the uncorrected formation energy at -1655.6 kJ/mol of formula units. The calculation puts the total energy at -5.977 eV per atom.

Record 8
First-principles (PBE) data for crystalline NaHoSe2O8 at its relaxed geometry, as listed in the Alexandria database.

a b c (Å): 5.0676 5.0676 11.5630
angles (deg): 90.00 90.00 90.00
Closest atoms and distances in Å follow each position.
Space group I-4 (No. 82)
Asymmetric unit:
Na 0.0000 0.0000 0.0000 x2  8 O 2.46-2.52
Ho 0.0000 0.5000 0.7500 x2  8 O 2.38-2.44
Se 0.0000 0.0000 0.5000 x2  4 O 1.68
Se 0.0000 0.5000 0.2500 x2  4 O 1.68
O 0.1295 0.2440 0.5804 x8  1 Se 1.68
O 0.1443 0.7453 0.1760 x8  1 Se 1.68

Summary:
The calculation puts the uncorrected formation energy at -1716.6 kJ/mol of formula units. The calculation puts the total energy at -5.860 eV per atom.